# PBE-GGA TaCuOs, relaxed
# Calculated density = 13.348 g cm⁻³
# Total DFT energy (no corrections) = -8.533 eV/atom
# ΔH_f (0 K) = 0.53 eV per atom
# Energy above the most stable polymorph in this dataset = 178 kJ/mol of formula units
# Spin magnetization = 0.0 μB per formula unit
data_TaCuOs
_chemical_formula_sum 'Ta4 Cu4 Os4'
_cell_length_a 6.003
_cell_length_b 6.003
_cell_length_c 6.003
_cell_angle_alpha 90.00
_cell_angle_beta 90.00
_cell_angle_gamma 90.00
_space_group_name_H-M_alt 'F -4 3 m'
_space_group_IT_number 216
_space_group_name_Hall 'F -4 2 3'
loop_
_atom_site_label
_atom_site_type_symbol
_atom_site_fract_x
_atom_site_fract_y
_atom_site_fract_z
Ta1 Ta 0.000 0.000 0.000
Cu1 Cu 0.250 0.250 0.250
Os1 Os 0.250 0.250 0.750

# PBE-GGA Ta2BePt, relaxed
# Calculated density = 15.214 g cm⁻³
# Total DFT energy (no corrections) = -8.618 eV/atom
# ΔH_f (0 K) = -0.25 eV per atom
# Spin magnetization = 0.0 μB per formula unit
data_Ta2BePt
_chemical_formula_sum 'Ta2 Be1 Pt1'
_cell_length_a 3.865
_cell_length_b 3.967
_cell_length_c 4.029
_cell_angle_alpha 90.00
_cell_angle_beta 90.00
_cell_angle_gamma 90.00
_space_group_name_H-M_alt 'P m m m'
_space_group_IT_number 47
_space_group_name_Hall '-P 2 2'
loop_
_atom_site_label
_atom_site_type_symbol
_atom_site_fract_x
_atom_site_fract_y
_atom_site_fract_z
Ta1 Ta 0.000 0.000 0.000
Ta2 Ta 0.500 0.000 0.500
Be1 Be 0.000 0.500 0.500
Pt1 Pt 0.500 0.500 0.000